No. 1
# TiNiPb2 (PBE, relaxed)
data_TiNiPb2
_symmetry_space_group_name_H-M 'P 1'
_symmetry_Int_Tables_number 1
_cell_length_a 4.8767
_cell_length_b 4.8767
_cell_length_c 4.8767
_cell_angle_alpha 60.00
_cell_angle_beta 60.00
_cell_angle_gamma 60.00
loop_
_symmetry_equiv_pos_as_xyz
'x,y,z'
loop_
_atom_site_label
_atom_site_fract_x
_atom_site_fract_y
_atom_site_fract_z
Pb1 0.2500 0.2500 0.2500
Pb2 0.7500 0.7500 0.7500
Ni1 0.5000 0.5000 0.5000
Ti1 0.0000 0.0000 0.0000
# Symmetry: No. 225
# N(E_F) (states/eV/cell): 2.29
# Formation energy from the elements (kcal/mol of atoms): 7.4
# Uncorrected energy (eV/atom): -4.95

No. 2
# Ti3NiPb (PBE, relaxed)
data_Ti3NiPb
_symmetry_space_group_name_H-M 'P 1'
_symmetry_Int_Tables_number 1
_cell_length_a 4.5887
_cell_length_b 4.5887
_cell_length_c 4.5887
_cell_angle_alpha 90.00
_cell_angle_beta 90.00
_cell_angle_gamma 90.00
loop_
_symmetry_equiv_pos_as_xyz
'x,y,z'
loop_
_atom_site_label
_atom_site_fract_x
_atom_site_fract_y
_atom_site_fract_z
Pb1 0.5000 0.5000 0.5000
Ni1 0.0000 0.0000 0.0000
Ti1 0.0000 0.5000 0.0000
Ti2 0.0000 0.0000 0.5000
Ti3 0.5000 0.0000 0.0000
# Symmetry: No. 221
# N(E_F) (states/eV/cell): 3.59
# Formation energy from the elements (kcal/mol of atoms): 2.1
# Uncorrected energy (eV/atom): -6.54

No. 3
# Ti2Ni2Pb (PBE, relaxed)
data_Ti2Ni2Pb
_symmetry_space_group_name_H-M 'P 1'
_symmetry_Int_Tables_number 1
_cell_length_a 4.1025
_cell_length_b 4.1025
_cell_length_c 5.8219
_cell_angle_alpha 69.37
_cell_angle_beta 69.37
_cell_angle_gamma 90.00
loop_
_symmetry_equiv_pos_as_xyz
'x,y,z'
loop_
_atom_site_label
_atom_site_fract_x
_atom_site_fract_y
_atom_site_fract_z
Pb1 0.0000 0.0000 0.0000
Ni1 0.3849 0.3849 0.2302
Ni2 0.6151 0.6151 0.7698
Ti1 0.7500 0.2500 0.5000
Ti2 0.2500 0.7500 0.5000
# Symmetry: No. 139
# N(E_F) (states/eV/cell): 4.89
# Formation energy from the elements (kcal/mol of atoms): -2.3
# Uncorrected energy (eV/atom): -6.31

No. 4
# Ti2Ni2Pb (PBE, relaxed)
data_Ti2Ni2Pb
_symmetry_space_group_name_H-M 'P 1'
_symmetry_Int_Tables_number 1
_cell_length_a 3.3303
_cell_length_b 3.3303
_cell_length_c 8.1684
_cell_angle_alpha 78.24
_cell_angle_beta 78.24
_cell_angle_gamma 90.00
loop_
_symmetry_equiv_pos_as_xyz
'x,y,z'
loop_
_atom_site_label
_atom_site_fract_x
_atom_site_fract_y
_atom_site_fract_z
Pb1 0.0000 0.0000 0.0000
Ni1 0.7500 0.2500 0.5000
Ni2 0.2500 0.7500 0.5000
Ti1 0.3681 0.3681 0.2639
Ti2 0.6319 0.6319 0.7361
# Symmetry: No. 139
# N(E_F) (states/eV/cell): 4.23
# Formation energy from the elements (kcal/mol of atoms): -0.3
# Uncorrected energy (eV/atom): -6.23

No. 5
# Ti6NiPb (PBE, relaxed)
data_Ti6NiPb
_symmetry_space_group_name_H-M 'P 1'
_symmetry_Int_Tables_number 1
_cell_length_a 6.0911
_cell_length_b 6.0911
_cell_length_c 5.4336
_cell_angle_alpha 116.64
_cell_angle_beta 116.64
_cell_angle_gamma 100.68
loop_
_symmetry_equiv_pos_as_xyz
'x,y,z'
loop_
_atom_site_label
_atom_site_fract_x
_atom_site_fract_y
_atom_site_fract_z
Ti1 0.2564 0.2564 0.7566
Ti2 0.7253 0.2753 0.2513
Ti3 0.7436 0.7436 0.2434
Ti4 0.7247 0.2747 0.7487
Ti5 0.2747 0.7247 0.7487
Ti6 0.2753 0.7253 0.2513
Ni1 0.5000 0.5000 0.5000
Pb1 0.0000 0.0000 0.0000
# Symmetry: No. 12
# N(E_F) (states/eV/cell): 12.76
# Formation energy from the elements (kcal/mol of atoms): 2.7
# Uncorrected energy (eV/atom): -6.99

No. 6
# Ti3NiPb (PBE, relaxed)
data_Ti3NiPb
_symmetry_space_group_name_H-M 'P 1'
_symmetry_Int_Tables_number 1
_cell_length_a 5.1314
_cell_length_b 5.1314
_cell_length_c 5.1314
_cell_angle_alpha 90.00
_cell_angle_beta 90.00
_cell_angle_gamma 90.00
loop_
_symmetry_equiv_pos_as_xyz
'x,y,z'
loop_
_atom_site_label
_atom_site_fract_x
_atom_site_fract_y
_atom_site_fract_z
Pb1 0.0000 0.0000 0.0000
Ni1 0.5000 0.5000 0.5000
Ti1 0.0000 0.5000 0.0000
Ti2 0.0000 0.0000 0.5000
Ti3 0.5000 0.0000 0.0000
# Symmetry: No. 221
# N(E_F) (states/eV/cell): 5.72
# Formation energy from the elements (kcal/mol of atoms): 36.8
# Uncorrected energy (eV/atom): -5.04

No. 7
# TiNi2Pb2 (PBE, relaxed)
data_TiNi2Pb2
_symmetry_space_group_name_H-M 'P 1'
_symmetry_Int_Tables_number 1
_cell_length_a 6.7181
_cell_length_b 6.7181
_cell_length_c 4.0425
_cell_angle_alpha 90.00
_cell_angle_beta 90.00
_cell_angle_gamma 90.00
loop_
_symmetry_equiv_pos_as_xyz
'x,y,z'
loop_
_atom_site_label
_atom_site_fract_x
_atom_site_fract_y
_atom_site_fract_z
Pb1 0.1797 0.6797 0.5000
Pb2 0.6797 0.8203 0.5000
Pb3 0.8203 0.3203 0.5000
Pb4 0.3203 0.1797 0.5000
Ni1 0.3729 0.8729 0.0000
Ni2 0.8729 0.6271 0.0000
Ni3 0.6271 0.1271 0.0000
Ni4 0.1271 0.3729 0.0000
Ti1 0.0000 0.0000 0.0000
Ti2 0.5000 0.5000 0.0000
# Symmetry: No. 127
# N(E_F) (states/eV/cell): 12.15
# Formation energy from the elements (kcal/mol of atoms): 3.3
# Uncorrected energy (eV/atom): -5.23

No. 8
# YTiNi2Pb (PBE, relaxed)
data_YTiNi2Pb
_symmetry_space_group_name_H-M 'P 1'
_symmetry_Int_Tables_number 1
_cell_length_a 4.6272
_cell_length_b 5.7141
_cell_length_c 4.6272
_cell_angle_alpha 90.00
_cell_angle_beta 90.00
_cell_angle_gamma 90.00
loop_
_symmetry_equiv_pos_as_xyz
'x,y,z'
loop_
_atom_site_label
_atom_site_fract_x
_atom_site_fract_y
_atom_site_fract_z
Pb1 0.0000 0.5000 0.0000
Y1 0.0000 0.0000 0.0000
Ti1 0.5000 0.5000 0.5000
Ni1 0.0000 0.0000 0.5000
Ni2 0.5000 0.0000 0.0000
# Symmetry: No. 123
# N(E_F) (states/eV/cell): 5.94
# Formation energy from the elements (kcal/mol of atoms): 27.6
# Uncorrected energy (eV/atom): -4.73